{
  "formula": "HoMg2Hg",
  "functional": "PBE",
  "state": "optimized geometry",
  "dos_ef_per_ev_cell": 2.23,
  "total_energy_ev_per_atom": -2.258,
  "sg": "P4/mmm",
  "ef_ev_per_atom": -0.24,
  "cell": [[4.432, 0.000, 0.000], [0.000, 4.432, 0.000], [0.000, 0.000, 4.862]],
  "species": ["Ho", "Mg", "Mg", "Hg"],
  "frac_coords": [[0.000, 0.000, 0.000], [0.000, 0.500, 0.500], [0.500, 0.000, 0.500], [0.500, 0.500, 0.000]]
}


{
  "formula": "Ho2MgHg",
  "functional": "PBE",
  "state": "optimized geometry",
  "dos_ef_per_ev_cell": 8.25,
  "total_energy_ev_per_atom": -3.049,
  "sg": "Pmma",
  "ef_ev_per_atom": -0.29,
  "cell": [[5.234, 0.000, 0.000], [0.000, 3.761, 0.000], [0.000, 0.000, 10.564]],
  "species": ["Ho", "Ho", "Ho", "Ho", "Mg", "Mg", "Hg", "Hg"],
  "frac_coords": [[0.250, 0.000, 0.117], [0.250, 0.000, 0.626], [0.750, 0.000, 0.374], [0.750, 0.000, 0.883], [0.250, 0.500, 0.376], [0.750, 0.500, 0.624], [0.250, 0.500, 0.860], [0.750, 0.500, 0.140]]
}


{
  "formula": "HoMg2Hg3",
  "functional": "PBE",
  "state": "optimized geometry",
  "dos_ef_per_ev_cell": 4.02,
  "total_energy_ev_per_atom": -1.811,
  "sg": "P-3m1",
  "ef_ev_per_atom": -0.37,
  "cell": [[5.030, 0.000, 0.000], [-2.515, 4.356, 0.000], [0.000, 0.000, 12.336]],
  "species": ["Ho", "Ho", "Mg", "Mg", "Mg", "Mg", "Hg", "Hg", "Hg", "Hg", "Hg", "Hg"],
  "frac_coords": [[0.333, 0.667, 0.164], [0.667, 0.333, 0.836], [0.000, 0.000, 0.000], [0.000, 0.000, 0.500], [0.333, 0.667, 0.664], [0.667, 0.333, 0.336], [0.000, 0.000, 0.258], [0.000, 0.000, 0.742], [0.333, 0.667, 0.417], [0.333, 0.667, 0.915], [0.667, 0.333, 0.085], [0.667, 0.333, 0.583]]
}


What is the formula in the third record? HoMg2Hg3


Number 3 is which compound? HoMg2Hg3


Number 2 is which compound? Ho2MgHg